# 1
Material: Sc3BeOs
Method: DFT, PBE
State: optimized geometry

Values from the calculation:
Its formation energy is 0.58 eV/atom. Its space group is Pm-3m, No. 221.

Geometry as CIF:
```
data_Sc3BeOs
_chemical_formula_sum 'Sc3 Be1 Os1'
_space_group_name_H-M_alt 'P 1'
_space_group_IT_number 1
_space_group_name_Hall 'P 1'
_cell_length_a 4.608
_cell_length_b 4.608
_cell_length_c 4.608
_cell_angle_alpha 90.00
_cell_angle_beta 90.00
_cell_angle_gamma 90.00
loop_
_atom_site_label
_atom_site_fract_x
_atom_site_fract_y
_atom_site_fract_z
Sc1 0.000 0.500 0.000
Sc2 0.000 0.000 0.500
Sc3 0.500 0.000 0.000
Be1 0.000 0.000 0.000
Os1 0.500 0.500 0.500
```

---

# 2
Material: ScBe2Os
Method: DFT, PBE
State: optimized geometry

Values from the calculation:
Its formation energy is 0.20 eV/atom. Its space group is R-3m, No. 166.

Geometry as CIF:
```
data_ScBe2Os
_chemical_formula_sum 'Sc1 Be2 Os1'
_space_group_name_H-M_alt 'P 1'
_space_group_IT_number 1
_space_group_name_Hall 'P 1'
_cell_length_a 6.334
_cell_length_b 6.334
_cell_length_c 6.334
_cell_angle_alpha 29.70
_cell_angle_beta 29.70
_cell_angle_gamma 29.70
loop_
_atom_site_label
_atom_site_fract_x
_atom_site_fract_y
_atom_site_fract_z
Sc1 0.750 0.750 0.750
Be1 0.986 0.986 0.986
Be2 0.514 0.514 0.514
Os1 0.250 0.250 0.250
```

---

# 3
Material: Sc12Be3Os5
Method: DFT, PBE
State: optimized geometry

Values from the calculation:
Its formation energy is 0.48 eV/atom. Its space group is Ia-3d, No. 230.

Geometry as CIF:
```
data_Sc12Be3Os5
_chemical_formula_sum 'Sc48 Be12 Os20'
_space_group_name_H-M_alt 'P 1'
_space_group_IT_number 1
_space_group_name_Hall 'P 1'
_cell_length_a 13.494
_cell_length_b 13.494
_cell_length_c 13.494
_cell_angle_alpha 109.47
_cell_angle_beta 109.47
_cell_angle_gamma 109.47
loop_
_atom_site_label
_atom_site_fract_x
_atom_site_fract_y
_atom_site_fract_z
Be1 0.750 0.375 0.125
Be2 0.875 0.750 0.125
Be3 0.375 0.750 0.625
Be4 0.250 0.125 0.375
Be5 0.875 0.125 0.250
Be6 0.375 0.625 0.250
Be7 0.625 0.375 0.750
Be8 0.125 0.875 0.750
Be9 0.750 0.875 0.625
Be10 0.625 0.250 0.375
Be11 0.125 0.250 0.875
Be12 0.250 0.625 0.875
Os1 0.125 0.375 0.250
Os2 0.000 0.500 0.000
Os3 0.000 0.000 0.000
Os4 0.375 0.250 0.125
Os5 0.500 0.000 0.500
Os6 0.500 0.500 0.000
Os7 0.125 0.750 0.375
Os8 0.750 0.125 0.875
Os9 0.750 0.625 0.375
Os10 0.375 0.125 0.750
Os11 0.625 0.875 0.250
Os12 0.500 0.500 0.500
Os13 0.500 0.000 0.000
Os14 0.000 0.000 0.500
Os15 0.250 0.375 0.625
Os16 0.250 0.875 0.125
Os17 0.000 0.500 0.500
Os18 0.875 0.250 0.625
Os19 0.625 0.750 0.875
Os20 0.875 0.625 0.750
Sc1 0.716 0.125 0.042
Sc2 0.326 0.542 0.417
Sc3 0.958 0.375 0.284
Sc4 0.542 0.216 0.125
Sc5 0.591 0.716 0.674
Sc6 0.958 0.583 0.174
Sc7 0.326 0.784 0.409
Sc8 0.083 0.909 0.125
Sc9 0.583 0.958 0.674
Sc10 0.716 0.591 0.174
Sc11 0.784 0.458 0.375
Sc12 0.826 0.917 0.042
Sc13 0.125 0.716 0.542
Sc14 0.375 0.417 0.091
Sc15 0.091 0.917 0.375
Sc16 0.409 0.125 0.583
Sc17 0.091 0.174 0.216
Sc18 0.458 0.674 0.083
Sc19 0.826 0.909 0.284
Sc20 0.125 0.409 0.083
Sc21 0.375 0.958 0.784
Sc22 0.583 0.625 0.409
Sc23 0.917 0.826 0.542
Sc24 0.784 0.326 0.909
Sc25 0.417 0.375 0.591
Sc26 0.083 0.174 0.458
Sc27 0.216 0.674 0.091
Sc28 0.174 0.091 0.716
Sc29 0.625 0.042 0.216
Sc30 0.875 0.591 0.917
Sc31 0.542 0.326 0.917
Sc32 0.591 0.875 0.417
Sc33 0.909 0.826 0.784
Sc34 0.909 0.083 0.625
Sc35 0.875 0.284 0.458
Sc36 0.174 0.083 0.958
Sc37 0.625 0.583 0.909
Sc38 0.417 0.042 0.326
Sc39 0.284 0.409 0.826
Sc40 0.216 0.542 0.625
Sc41 0.917 0.091 0.875
Sc42 0.674 0.216 0.591
Sc43 0.458 0.784 0.875
Sc44 0.042 0.417 0.826
Sc45 0.409 0.284 0.326
Sc46 0.042 0.625 0.716
Sc47 0.674 0.458 0.583
Sc48 0.284 0.875 0.958
```

---

Here are the calculated DFT total energy numbers, same order: -6.206 -6.050 -6.682 (eV per atom).